(1)
DFT (PBE) results for a relaxed Ac8Si3GeBr4 crystal.

a b c (Å): 9.1809 9.1809 22.7603
angles (deg): 90.00 90.00 120.00
Space group R-3m (No. 166, hexagonal axes)
Asymmetric unit:
Ac  0.0000  0.0000  0.2383 [6 per cell]
Ac  0.0022  0.5011  0.7615 [18 per cell]
Si  0.0000  0.5000  0.5000 [9 per cell]
Ge  0.0000  0.0000  0.5000 [3 per cell]
Br  0.0000  0.0000  0.0000 [3 per cell]
Br  0.0000  0.5000  0.0000 [9 per cell]

Calculated values
**Magnetic moment**: 0.000 μB per atom
**Energy relative to the elements, uncorrected**: -103.8 kJ per mole of atoms
**Raw total energy**: -4.8532 eV per atom

---

(2)
DFT (PBE) results for a relaxed ErSc2AuC crystal.

a b c (Å): 4.447 4.447 4.915
angles (deg): 90.00 90.00 90.00
Space group P4/mmm (No. 123)
Asymmetric unit:
Er  0.000  0.000  0.000 [1 per cell]
Sc  0.000  0.500  0.500 [2 per cell]
Au  0.500  0.500  0.000 [1 per cell]
C  0.000  0.000  0.500 [1 per cell]

Calculated values
**E_form**: -2.95 eV/f.u.
**Magnetic moment**: 0.000 μB per atom
**Raw total energy**: -6.5348 eV per atom

---

(3)
DFT (PBE) results for a relaxed KSr2Cr2 crystal.

a b c (Å): 9.592 9.592 3.584
angles (deg): 90.00 90.00 90.00
Space group P4/mbm (No. 127)
Asymmetric unit:
K  0.000  0.000  0.000 [2 per cell]
Sr  0.201  0.299  0.000 [4 per cell]
Cr  0.065  0.565  0.500 [4 per cell]

Calculated values
**E_form**: 4.47 eV/f.u.
**Magnetic moment**: 0.002 μB per atom
**E above lowest polymorph**: 105 meV per atom
**Raw total energy**: -3.8484 eV per atom